(1)
Below is a relaxed structure of KYNi2, with properties calculated at the PBE level.

Summary:
As for the formation energy: 0.452 eV/atom. As for the energy above the most stable polymorph in this dataset: 0.419 eV per atom. For the magnetic moment, the calculation gives 0.00 Bohr magnetons per cell.

Geometry as POSCAR:
```
KYNi2
1.0
-0.5330 -3.3809 3.6666
1.4344 -3.6368 -3.1423
3.1987 0.4786 0.9063
K Ni Y
1 2 1
direct
0.0000 0.5000 0.5000
0.0000 0.0000 0.0000
0.5000 0.5000 0.0000
0.5000 0.0000 0.5000
```


(2)
Below is a relaxed structure of AsRu4Pt, with properties calculated at the PBE level.

Summary:
As for the formation energy: 0.694 eV/atom. For the magnetic moment, the calculation gives 1.74 Bohr magnetons per cell.

Geometry as POSCAR:
```
AsRu4Pt
1.0
0.0000 3.6230 3.6230
3.6230 0.0000 3.6230
3.6230 3.6230 0.0000
As Ru Pt
1 4 1
direct
0.7500 0.7500 0.7500
0.8767 0.3744 0.3744
0.3744 0.3744 0.8767
0.3744 0.8767 0.3744
0.3744 0.3744 0.3744
0.0000 0.0000 0.0000
```


(3)
Below is a relaxed structure of AlNiSb, with properties calculated at the PBE level.

Summary:
For the magnetic moment, the calculation gives 0.00 Bohr magnetons per cell. The formation energy (no corrections) is 0.00 eV/atom.

Geometry as POSCAR:
```
AlNiSb
1.0
-2.7526 2.1248 -1.9424
-0.7515 -3.7769 1.0172
-1.5566 1.2813 3.6075
Sb Al Ni
1 1 1
direct
0.3333 0.6667 0.5929
0.0000 0.0000 0.1087
0.6667 0.3333 0.2984
```


(4)
Below is a relaxed structure of BeHgI2, with properties calculated at the PBE level.

Summary:
As for the energy above the most stable polymorph in this dataset: 0.831 eV per atom. For the magnetic moment, the calculation gives 0.00 Bohr magnetons per cell. The formation energy (no corrections) is 0.57 eV/atom.

Geometry as POSCAR:
```
BeHgI2
1.0
2.4388 -3.7046 -3.0934
-2.6015 -4.5510 -1.3271
-1.6516 -0.7845 -5.0889
I Be Hg
2 1 1
direct
0.2500 0.2500 0.2500
0.7500 0.7500 0.7500
0.0000 0.0000 0.0000
0.5000 0.5000 0.5000
```